Computed, not measured: a relaxed CdMoN2F crystal at the GGA+U level of DFT.

Lattice parameters (Å, degrees): 4.2500 4.2500 4.2499 90.00 90.00 90.00
Space group P4/mmm (No. 123)
One atom of each set of equivalent atoms:
Cd 0.0000 0.0000 0.0000 [1 per cell]
Mo 0.5000 0.5000 0.5000 [1 per cell]
N 0.0000 0.5000 0.0000 [2 per cell]
F 0.0000 0.0000 0.5000 [1 per cell]

Spin magnetization (μB per cell): 1.9
Energy above the most stable polymorph in this dataset (eV per atom): 1.141
Total DFT energy (no corrections) (eV per cell): -20.87